Record 1
Here is InIr2Pt after structural relaxation from Alexandria. Energies are from PBE.

Cell: 2.8600 3.9153 5.7982 Å, 90.00 90.00 90.00°
Last column: nearest neighbours and their distance in Å.
Atoms (fractional coordinates):
1 Ir 0.0000 0.0000 0.0282  6 Ir 2.70-2.86, 1 Pt 2.70, 4 In 2.93
2 Ir 0.5000 0.5000 0.2319  6 Ir 2.70-2.86, 2 In 2.82-2.98, 4 Pt 2.86
3 In 0.5000 0.5000 0.7458  6 Ir 2.82-2.98, 4 Pt 2.83, 2 In 2.86
4 Pt 0.0000 0.0000 0.4941  5 Ir 2.70-2.86, 4 In 2.83, 2 Pt 2.86

Results
E: -0.48684 Ry per atom

=====

Record 2
Here is Ce5NdRu4 after structural relaxation from Alexandria. Energies are from PBE.

Cell: 6.8012 7.9853 9.6698 Å, 90.00 90.00 90.00°
Last column: nearest neighbours and their distance in Å.
Atoms (fractional coordinates):
1 Ce 0.7222 0.2668 0.3116  2 Ru 2.48-2.64
2 Ce 0.2778 0.7668 0.8116  2 Ru 2.48-2.64
3 Ce 0.2778 0.2332 0.1884  2 Ru 2.48-2.64
4 Ce 0.1094 0.0000 0.5000  2 Ru 2.48
5 Ce 0.7222 0.7332 0.6884  2 Ru 2.48-2.64
6 Ce 0.7222 0.2668 0.6884  2 Ru 2.48-2.64
7 Ce 0.8906 0.5000 0.0000  2 Ru 2.48
8 Ce 0.2778 0.2332 0.8116  2 Ru 2.48-2.64
9 Ce 0.2778 0.7668 0.1884  2 Ru 2.48-2.64
10 Ce 0.7222 0.7332 0.3116  2 Ru 2.48-2.64
11 Ru 0.5008 0.6773 0.0000  2 Ce 2.48
12 Ru 0.0176 0.0000 0.7481  3 Ce 2.48-2.64
13 Ru 0.9824 0.5000 0.7519  3 Ce 2.48-2.64
14 Ru 0.9824 0.5000 0.2481  3 Ce 2.48-2.64
15 Ru 0.4992 0.1773 0.5000  2 Ce 2.48
16 Ru 0.0176 0.0000 0.2519  3 Ce 2.48-2.64
17 Ru 0.4992 0.8227 0.5000  2 Ce 2.48
18 Ru 0.5008 0.3227 0.0000  2 Ce 2.48
19 Nd 0.7628 0.0000 0.0000  4 Ru 2.99-3.13
20 Nd 0.2372 0.5000 0.5000  4 Ru 2.99-3.13

Results
E: -0.53756 Ry per atom

=====

Record 3
Here is TbPm8Sm4 after structural relaxation from Alexandria. Energies are from PBE.

Cell: 11.2516 11.2516 7.8974 Å, 90.00 135.43 120.00°
Last column: nearest neighbours and their distance in Å.
Atoms (fractional coordinates):
1 Tb 0.0000 0.5000 0.5000  8 Pm 3.53-3.58, 6 Sm 3.95
2 Pm 0.9900 0.2363 0.2262  4 Sm 3.30-3.48, 1 Tb 3.58
3 Pm 0.9900 0.7537 0.2262  4 Sm 3.30-3.48, 1 Tb 3.58
4 Pm 0.5274 0.7637 0.7737  4 Sm 3.30-3.48, 1 Tb 3.58
5 Pm 0.0100 0.7637 0.7738  4 Sm 3.30-3.48, 1 Tb 3.58
6 Pm 0.4726 0.2363 0.2263  4 Sm 3.30-3.48, 1 Tb 3.58
7 Pm 0.5244 0.7622 0.2867  4 Sm 3.20-3.49, 1 Tb 3.53
8 Pm 0.4756 0.2378 0.7133  4 Sm 3.20-3.49, 1 Tb 3.53
9 Pm 0.0100 0.2463 0.7738  4 Sm 3.30-3.48, 1 Tb 3.58
10 Sm 0.5000 0.0000 0.0000  8 Pm 3.46-3.49
11 Sm 0.0000 0.0000 0.0000  8 Pm 3.20-3.30
12 Sm 0.5000 0.5000 0.0000  8 Pm 3.46-3.49
13 Sm 0.0000 0.5000 0.0000  8 Pm 3.46-3.49

Results
E: -0.31256 Ry per atom

=====

Record 4
Here is Ba2SrMn after structural relaxation from Alexandria. Energies are from PBE.

Cell: 5.0499 6.0119 5.9033 Å, 90.00 90.00 90.00°
Last column: nearest neighbours and their distance in Å.
Atoms (fractional coordinates):
1 Ba 0.5000 0.5000 0.0000  4 Sr 3.88, 4 Ba 3.93, 4 Mn 4.21
2 Ba 0.0000 0.0000 0.0000  4 Mn 3.88, 4 Ba 3.93, 4 Sr 4.21
3 Mn 0.5000 0.0000 0.5000  8 Ba 3.88-4.21, 4 Sr 3.93
4 Sr 0.0000 0.5000 0.5000  8 Ba 3.88-4.21, 4 Mn 3.93

Results
E: -0.23494 Ry per atom

=====

Record 5
Here is Mg8Cd2Ru after structural relaxation from Alexandria. Energies are from PBE.

Cell: 4.7257 7.0235 8.0330 Å, 113.59 107.11 90.00°
Last column: nearest neighbours and their distance in Å.
Atoms (fractional coordinates):
1 Mg 0.3896 0.5889 0.7793  1 Ru 2.67, 2 Cd 2.91
2 Mg 0.6519 0.9027 0.3037  1 Ru 2.69, 1 Cd 2.98
3 Mg 0.1725 0.2112 0.3450  7 Mg 2.89-3.13, 3 Cd 3.06-3.13
4 Mg 0.6104 0.4111 0.2207  1 Ru 2.67, 2 Cd 2.91
5 Mg 0.9846 0.2121 0.9691  2 Ru 2.86, 6 Mg 2.89-3.03, 1 Cd 3.09
6 Mg 0.0154 0.7879 0.0309  2 Ru 2.86, 6 Mg 2.89-3.03, 1 Cd 3.09
7 Mg 0.8275 0.7888 0.6550  7 Mg 2.89-3.13, 3 Cd 3.06-3.13
8 Mg 0.3481 0.0973 0.6963  1 Ru 2.69, 1 Cd 2.98
9 Cd 0.1880 0.6698 0.3760  9 Mg 2.91-3.13
10 Cd 0.8120 0.3302 0.6240  9 Mg 2.91-3.13
11 Ru 0.5000 0.0000 0.0000  8 Mg 2.67-2.86

Results
E: -0.16278 Ry per atom

=====

Record 6
Here is BaLi4Ca3 after structural relaxation from Alexandria. Energies are from PBE.

Cell: 5.8011 8.0910 11.6022 Å, 90.00 90.00 90.00°
Last column: nearest neighbours and their distance in Å.
Atoms (fractional coordinates):
1 Ca 0.0000 0.0000 0.5000  8 Li 3.44-3.45
2 Ca 0.4984 0.0000 0.2500  8 Li 3.44-3.45
3 Ca 0.0000 0.0000 0.0000  8 Li 3.44-3.45
4 Ca 0.5016 0.0000 0.7500  8 Li 3.44-3.45
5 Ca 0.4990 0.5000 0.2500  8 Li 3.63-3.64, 2 Ca 4.05
6 Ca 0.5010 0.5000 0.7500  8 Li 3.63-3.64, 2 Ca 4.05
7 Li 0.9981 0.7700 0.2500  6 Ca 3.44-3.64, 2 Ba 3.63, 1 Li 3.72
8 Li 0.5000 0.2295 0.5000  6 Ca 3.44-3.63, 2 Ba 3.63, 1 Li 3.71
9 Li 0.5000 0.7705 0.5000  6 Ca 3.44-3.63, 2 Ba 3.63, 1 Li 3.71
10 Li 0.0019 0.2300 0.7500  6 Ca 3.44-3.64, 2 Ba 3.63, 1 Li 3.72
11 Li 0.9981 0.2300 0.2500  6 Ca 3.44-3.64, 2 Ba 3.63, 1 Li 3.72
12 Li 0.0019 0.7700 0.7500  6 Ca 3.44-3.64, 2 Ba 3.63, 1 Li 3.72
13 Li 0.5000 0.7705 0.0000  6 Ca 3.44-3.63, 2 Ba 3.63, 1 Li 3.71
14 Li 0.5000 0.2295 0.0000  6 Ca 3.44-3.63, 2 Ba 3.63, 1 Li 3.71
15 Ba 0.0000 0.5000 0.0000  8 Li 3.63, 2 Ca 4.05
16 Ba 0.0000 0.5000 0.5000  8 Li 3.63, 2 Ca 4.05

Results
E: -0.14020 Ry per atom

=====

Record 7
Here is CrB2Br after structural relaxation from Alexandria. Energies are from PBE.

Cell: 5.1130 5.1130 6.0324 Å, 64.93 64.93 90.00°
Last column: nearest neighbours and their distance in Å.
Atoms (fractional coordinates):
1 Br 0.0000 0.0000 0.0000  4 B 2.34
2 Br 0.7500 0.2500 0.5000  4 B 2.34
3 Cr 0.5000 0.5000 0.0000  4 B 2.03
4 Cr 0.2500 0.7500 0.5000  4 B 2.03
5 B 0.1758 0.6250 0.2500  2 Cr 2.03
6 B 0.5742 0.1250 0.2500  2 Cr 2.03
7 B 0.3750 0.4258 0.7500  2 Cr 2.03
8 B 0.8750 0.8242 0.7500  2 Cr 2.03

Results
Uncorrected formation energy: 1.351 eV per atom
E: -0.35368 Ry per atom

=====

Record 8
Here is GaMoPt3 after structural relaxation from Alexandria. Energies are from PBE.

Cell: 4.8689 4.8689 4.8689 Å, 90.00 90.00 90.00°
Last column: nearest neighbours and their distance in Å.
Atoms (fractional coordinates):
1 Pt 0.0000 0.0000 0.5000  2 Mo 2.43
2 Pt 0.0000 0.5000 0.0000  2 Mo 2.43
3 Pt 0.5000 0.0000 0.0000  2 Mo 2.43
4 Mo 0.0000 0.0000 0.0000  6 Pt 2.43
5 Ga 0.5000 0.5000 0.5000  12 Pt 3.44

Results
E: -0.39870 Ry per atom

=====

Record 9
Here is CdH6Pd8 after structural relaxation from Alexandria. Energies are from PBE.

Cell: 2.9001 7.9822 7.9822 Å, 120.00 90.00 90.00°
Last column: nearest neighbours and their distance in Å.
Atoms (fractional coordinates):
1 Pd 0.1867 0.9804 0.3215  3 H 1.87-1.92
2 Pd 0.1867 0.3412 0.0196  3 H 1.87-1.92
3 Pd 0.8133 0.3215 0.3412  3 H 1.87-1.92
4 Pd 0.8133 0.6588 0.9804  3 H 1.87-1.92
5 Pd 0.6160 0.6667 0.3333  3 H 1.89
6 Pd 0.8133 0.0196 0.6785  3 H 1.87-1.92
7 Pd 0.3840 0.3333 0.6667  3 H 1.89
8 Pd 0.1867 0.6785 0.6588  3 H 1.87-1.92
9 H 0.3168 0.4371 0.2888  4 Pd 1.87-1.92
10 H 0.3168 0.8517 0.5629  4 Pd 1.87-1.92
11 H 0.6832 0.2888 0.8517  4 Pd 1.87-1.92
12 H 0.6832 0.1483 0.4371  4 Pd 1.87-1.92
13 H 0.6832 0.5629 0.7112  4 Pd 1.87-1.92
14 H 0.3168 0.7112 0.1483  4 Pd 1.87-1.92
15 Cd 0.5000 0.0000 0.0000  6 Pd 2.80, 2 Cd 2.90, 6 H 3.12

Results
E: -0.31644 Ry per atom

=====

Record 10
Here is Cd4Sn2Os after structural relaxation from Alexandria. Energies are from PBE.

Cell: 5.3233 5.3233 8.0714 Å, 70.75 70.75 90.00°
Last column: nearest neighbours and their distance in Å.
Atoms (fractional coordinates):
1 Os 0.0000 0.0000 0.0000  6 Cd 2.65-2.66
2 Sn 0.3898 0.3898 0.2204  5 Cd 2.92-3.09, 1 Sn 3.15
3 Sn 0.6102 0.6102 0.7796  5 Cd 2.92-3.09, 1 Sn 3.15
4 Cd 0.5000 0.0000 0.0000  2 Os 2.66
5 Cd 0.0000 0.5000 0.0000  2 Os 2.66
6 Cd 0.1853 0.1853 0.6293  1 Os 2.65, 1 Sn 2.92
7 Cd 0.8147 0.8147 0.3707  1 Os 2.65, 1 Sn 2.92

Results
E: -0.19769 Ry per atom

=====

Record 11
Here is CsGa2CoAu after structural relaxation from Alexandria. Energies are from PBE.

Cell: 6.0334 4.8854 6.0334 Å, 90.00 90.00 90.00°
Last column: nearest neighbours and their distance in Å.
Atoms (fractional coordinates):
1 Au 0.5000 0.5000 0.5000  8 Ga 3.88, 4 Co 4.27
2 Ga 0.5000 0.0000 0.0000  2 Cs 3.02
3 Ga 0.0000 0.0000 0.5000  2 Cs 3.02
4 Cs 0.0000 0.0000 0.0000  2 Co 2.44
5 Co 0.0000 0.5000 0.0000  2 Cs 2.44

Results
E: -0.12977 Ry per atom

=====

Record 12
Here is H2IrO4 after structural relaxation from Alexandria. Energies are from PBE.

Cell: 3.1611 4.7171 6.1443 Å, 121.59 104.91 90.00°
Last column: nearest neighbours and their distance in Å.
Atoms (fractional coordinates):
1 Ir 0.0000 0.0000 0.0000  2 O 1.81
2 O 0.3877 0.7020 0.7754  1 H 1.00
3 O 0.6123 0.2980 0.2246  1 H 1.00
4 O 0.0932 0.7978 0.1863  1 Ir 1.81
5 O 0.9068 0.2022 0.8137  1 Ir 1.81
6 H 0.6150 0.5129 0.2300  1 O 1.00
7 H 0.3850 0.4871 0.7700  1 O 1.00

Results
E: -0.41569 Ry per atom